[1]
Below is crystalline BeInS2 at its relaxed geometry, with properties calculated at the PBE level.

Structure (POSCAR):
```
BeInS2
1.0
0.0000 3.2449 3.2449
3.2449 0.0000 3.2449
3.2449 3.2449 0.0000
Be S In
1 2 1
Direct
0.0000 0.0000 0.0000
0.2500 0.2500 0.2500
0.7500 0.7500 0.7500
0.5000 0.5000 0.5000
```

SG = No. 225
energy above the most stable polymorph in this dataset = 862 meV/atom
uncorrected formation energy = 0.321 eV/atom

=====

[2]
Below is crystalline LiCaMo at its relaxed geometry, with properties calculated at the PBE level.

Structure (POSCAR):
```
LiCaMo
1.0
-6.1220 -3.8420 3.3419
-4.4742 -6.5262 0.8937
6.4900 4.5692 -0.6413
Ca Li Mo
1 1 1
Direct
0.0126 0.0126 0.0000
0.3162 0.3162 0.0000
0.6711 0.6711 0.0000
```

SG = No. 107
energy above the most stable polymorph in this dataset = 0 meV/atom

=====

[3]
Below is crystalline Be2HRu at its relaxed geometry, with properties calculated at the PBE level.

Structure (POSCAR):
```
Be2HRu
1.0
-1.6574 -3.2197 -0.8230
-1.9743 -1.7869 2.5884
-3.6997 -0.1672 -0.2735
Ru H Be
1 1 2
Direct
0.5000 0.5000 0.5000
0.0000 0.0000 0.0000
0.2500 0.2500 0.2500
0.7500 0.7500 0.7500
```

SG = No. 225
energy above the most stable polymorph in this dataset = 450 meV/atom

=====

[4]
Below is crystalline SiAg2I at its relaxed geometry, with properties calculated at the PBE level.

Structure (POSCAR):
```
SiAg2I
1.0
1.8953 -4.5540 -0.9098
-1.9221 -2.8293 -3.6687
2.6476 -0.8254 -4.1794
I Si Ag
1 1 2
Direct
0.5000 0.5000 0.5000
0.0000 0.0000 0.0000
0.2500 0.2500 0.2500
0.7500 0.7500 0.7500
```

SG = No. 225
energy above the most stable polymorph in this dataset = 395 meV/atom
uncorrected formation energy = 0.738 eV/atom

=====

[5]
Below is crystalline Sr2InSiS at its relaxed geometry, with properties calculated at the PBE level.

Structure (POSCAR):
```
Sr2InSiS
1.0
6.3239 0.0000 0.0000
0.0000 4.9061 0.0000
0.0000 0.0000 6.3239
Sr S Si In
2 1 1 1
Direct
0.0000 0.0000 0.5000
0.5000 0.0000 0.0000
0.0000 0.5000 0.0000
0.5000 0.5000 0.5000
0.0000 0.0000 0.0000
```

SG = No. 123
uncorrected formation energy = 0.328 eV/atom

=====

[6]
Below is crystalline Ca2AgN at its relaxed geometry, with properties calculated at the PBE level.

Structure (POSCAR):
```
Ca2AgN
1.0
3.6188 0.0000 0.0000
1.8094 3.1340 0.0000
1.8094 1.0447 7.4498
Ca Ag N
2 1 1
Direct
0.0563 0.0563 0.8311
0.2774 0.2774 0.1677
0.5003 0.5003 0.4992
0.6660 0.6660 0.0019
```

SG = No. 160
uncorrected formation energy = -0.578 eV/atom

=====

Respective total DFT energy (no corrections) values: -3.3594; -4.2683; -4.4417; -2.4311; -2.8028; -4.3730 eV/atom.